(1)
## CoWCl2 (GGA-PBEsol)

Data for a relaxed structure of CoWCl2.

POSCAR file:
```
CoWCl2
1.0
-2.8590 -1.1827 -0.3901
1.8901 0.3511 -2.4554
2.6936 -7.2440 2.9090
Co W Cl
1 1 2
Direct
0.8784 0.6377 0.5161 Co
0.6168 0.1036 0.7204 W
0.0243 0.9071 0.9314 Cl
0.4805 0.8517 0.3322 Cl
```

Its excess energy over the best structure of this formula in the dataset is 0 kJ/mol of formula units. The value obtained for the calculated total energy is -26.2 eV for the cell shown. As for the space group: Cm, No. 8.

(2)
## KMgS2Cl (GGA-PBEsol)

Data for a relaxed structure of KMgS2Cl.

POSCAR file:
```
KMgS2Cl
1.0
4.8070 0.0000 0.0000
0.0000 4.8070 0.0000
0.0000 0.0000 5.2048
S Mg K Cl
2 1 1 1
Direct
0.5000 0.0000 0.0000 S
0.0000 0.5000 0.0000 S
0.0000 0.0000 0.0000 Mg
0.5000 0.5000 0.5000 K
0.0000 0.0000 0.5000 Cl
```

The value obtained for the calculated total energy is -17.7 eV for the cell shown. As for the space group: P4/mmm, No. 123.

(3)
## NaMg3B (GGA-PBEsol)

Data for a relaxed structure of NaMg3B.

POSCAR file:
```
NaMg3B
1.0
4.6743 0.0000 0.0000
0.0000 4.6743 0.0000
0.0000 0.0000 4.6743
B Mg Na
1 3 1
Direct
0.0000 0.0000 0.0000 B
0.0000 0.5000 0.0000 Mg
0.5000 0.0000 0.0000 Mg
0.0000 0.0000 0.5000 Mg
0.5000 0.5000 0.5000 Na
```

The value obtained for the formation energy is 0.2540 eV per atom. The value obtained for the calculated total energy is -12.3 eV for the cell shown. As for the space group: Pm-3m, No. 221.

(4)
## LuAl3 (GGA-PBEsol)

Data for a relaxed structure of LuAl3.

POSCAR file:
```
LuAl3
1.0
-1.6872 1.1934 -4.1118
1.7461 -5.3393 -2.2662
-5.5135 0.5990 2.4362
Lu Al
2 6
Direct
0.7500 0.3333 0.6667 Lu
0.2500 0.6667 0.3333 Lu
0.7500 0.8477 0.6954 Al
0.2500 0.1523 0.8477 Al
0.2500 0.6954 0.8477 Al
0.7500 0.8477 0.1523 Al
0.2500 0.1523 0.3046 Al
0.7500 0.3046 0.1523 Al
```

The value obtained for the formation energy is -0.3900 eV per atom. The value obtained for the calculated total energy is -37.4 eV for the cell shown. As for the space group: P6_3/mmc, No. 194.

Q: Which value of calculated total energy does entry 3 give?
A: -12.3 eV for the cell shown

Q: Which of these has the lowest calculated total energy?
A: LuAl3

Q: Look up the calculated total energy of the third one.
A: -12.3 eV for the cell shown